# 1
Here is a relaxed In2SnTe crystal from Alexandria via LeMat-Bulk. Energies are from PBE-GGA.

Lattice parameters (Å, degrees): 5.4424 5.4424 5.4424 60.00 60.00 60.00
Last column: nearest neighbours and their distance in Å.
Fractional positions:
1 In 0.2500 0.2500 0.2500  4 Sn 3.33, 4 Te 3.33
2 In 0.7500 0.7500 0.7500  4 Sn 3.33, 4 Te 3.33
3 Sn 0.0000 0.0000 0.0000  8 In 3.33
4 Te 0.5000 0.5000 0.5000  8 In 3.33

Computed properties:
For the uncorrected formation energy, the calculation gives 0.20 eV/f.u. The calculation puts the total magnetization at 0.000 μB per atom. The value obtained for the relative energy among the computed polymorphs is 0.1891 eV/atom.

---

# 2
Here is a relaxed InSnTe3 crystal from Alexandria via LeMat-Bulk. Energies are from PBE-GGA.

Lattice parameters (Å, degrees): 4.1603 7.5152 11.9599 81.51 80.04 73.98
Last column: nearest neighbours and their distance in Å.
Fractional positions:
1 In 0.1479 0.4938 0.2106  5 Te 2.92-2.99
2 In 0.8521 0.5062 0.7894  5 Te 2.92-2.99
3 Sn 0.1802 0.9578 0.6794  5 Te 2.96-3.08
4 Sn 0.8198 0.0422 0.3206  5 Te 2.96-3.08
5 Te 0.1570 0.2574 0.4325  1 In 2.97, 2 Sn 2.99
6 Te 0.1955 0.7122 0.8973  2 In 2.92-2.93, 1 Sn 2.96
7 Te 0.4955 0.7894 0.2206  2 In 2.99, 2 Sn 3.08
8 Te 0.5045 0.2106 0.7794  2 In 2.99, 2 Sn 3.08
9 Te 0.8045 0.2878 0.1027  2 In 2.92-2.93, 1 Sn 2.96
10 Te 0.8430 0.7426 0.5675  1 In 2.97, 2 Sn 2.99

Computed properties:
For the uncorrected formation energy, the calculation gives -0.93 eV/f.u. The calculation puts the total magnetization at 0.000 μB per atom. The value obtained for the relative energy among the computed polymorphs is 0.0000 eV/atom.

---

# 3
Here is a relaxed In2SnTe4 crystal from Alexandria via LeMat-Bulk. Energies are from PBE-GGA.

Lattice parameters (Å, degrees): 6.3490 6.3490 7.2042 90.00 90.00 90.00
Last column: nearest neighbours and their distance in Å.
Fractional positions:
1 In 0.0000 0.5000 0.0000  4 Te 2.86
2 In 0.5000 0.0000 0.0000  4 Te 2.86
3 Sn 0.0000 0.0000 0.5000  4 Te 3.11
4 Te 0.2783 0.2783 0.7572  2 In 2.86, 1 Sn 3.11
5 Te 0.2783 0.7217 0.2428  2 In 2.86, 1 Sn 3.11
6 Te 0.7217 0.2783 0.2428  2 In 2.86, 1 Sn 3.11
7 Te 0.7217 0.7217 0.7572  2 In 2.86, 1 Sn 3.11

Computed properties:
For the uncorrected formation energy, the calculation gives -1.56 eV/f.u. The calculation puts the total magnetization at 0.000 μB per atom.

---

# 4
Here is a relaxed InSn2Te crystal from Alexandria via LeMat-Bulk. Energies are from PBE-GGA.

Lattice parameters (Å, degrees): 8.5388 8.5388 8.5388 133.72 133.72 67.52
Last column: nearest neighbours and their distance in Å.
Fractional positions:
1 In 0.0000 0.0000 0.0000  4 Sn 2.90
2 In 0.7500 0.2500 0.5000  4 Sn 2.90
3 Sn 0.1083 0.6250 0.9833  2 In 2.90, 2 Te 3.03
4 Sn 0.3750 0.3583 0.4833  2 In 2.90, 2 Te 3.03
5 Sn 0.6417 0.1250 0.0167  2 In 2.90, 2 Te 3.03
6 Sn 0.8750 0.8917 0.5167  2 In 2.90, 2 Te 3.03
7 Te 0.2500 0.7500 0.5000  4 Sn 3.03
8 Te 0.5000 0.5000 0.0000  4 Sn 3.03

Computed properties:
For the uncorrected formation energy, the calculation gives 0.39 eV/f.u. The calculation puts the total magnetization at 0.000 μB per atom. The value obtained for the relative energy among the computed polymorphs is 0.0976 eV/atom.

---

# 5
Here is a relaxed In3SnTe crystal from Alexandria via LeMat-Bulk. Energies are from PBE-GGA.

Lattice parameters (Å, degrees): 5.6859 5.6859 5.6859 90.00 90.00 90.00
Last column: nearest neighbours and their distance in Å.
Fractional positions:
1 In 0.0000 0.0000 0.5000  2 Sn 2.84
2 In 0.0000 0.5000 0.0000  2 Sn 2.84
3 In 0.5000 0.0000 0.0000  2 Sn 2.84
4 Sn 0.0000 0.0000 0.0000  6 In 2.84
5 Te 0.5000 0.5000 0.5000  12 In 4.02

Computed properties:
For the uncorrected formation energy, the calculation gives 1.20 eV/f.u. The calculation puts the total magnetization at 0.000 μB per atom. The value obtained for the relative energy among the computed polymorphs is 0.0000 eV/atom.

---

# 6
Here is a relaxed In2Sn2Te5 crystal from Alexandria via LeMat-Bulk. Energies are from PBE-GGA.

Lattice parameters (Å, degrees): 8.1406 8.1406 11.5416 120.83 120.83 32.22
Last column: nearest neighbours and their distance in Å.
Fractional positions:
1 In 0.2085 0.2085 0.0947  4 Te 2.77-2.92
2 In 0.7915 0.7915 0.9053  4 Te 2.77-2.92
3 Sn 0.4029 0.4029 0.5750  5 Te 3.05-3.25
4 Sn 0.5971 0.5971 0.4250  5 Te 3.05-3.25
5 Te 0.0000 0.0000 0.5000  4 Sn 3.09
6 Te 0.1898 0.1898 0.3201  1 In 2.77, 1 Sn 3.05
7 Te 0.3922 0.3922 0.0896  3 In 2.91-2.92
8 Te 0.6078 0.6078 0.9104  3 In 2.91-2.92
9 Te 0.8102 0.8102 0.6799  1 In 2.77, 1 Sn 3.05

Computed properties:
For the uncorrected formation energy, the calculation gives -2.03 eV/f.u. The calculation puts the total magnetization at 0.000 μB per atom.

---

# 7
Here is a relaxed InSnTe crystal from Alexandria via LeMat-Bulk. Energies are from PBE-GGA.

Lattice parameters (Å, degrees): 6.4210 6.4210 6.4210 144.71 144.71 50.76
Last column: nearest neighbours and their distance in Å.
Fractional positions:
1 In 0.0000 0.0000 0.0000  5 Te 3.42-3.77, 5 Sn 3.48-3.67
2 Sn 0.3163 0.3163 0.0000  4 Te 3.20, 4 In 3.48
3 Te 0.6751 0.6751 0.0000  4 Sn 3.20, 4 In 3.42

Computed properties:
For the uncorrected formation energy, the calculation gives -0.21 eV/f.u. The calculation puts the total magnetization at 0.000 μB per atom. The value obtained for the relative energy among the computed polymorphs is 0.0343 eV/atom.

---

# 8
Here is a relaxed InSn2Te4 crystal from Alexandria via LeMat-Bulk. Energies are from PBE-GGA.

Lattice parameters (Å, degrees): 7.4563 7.4563 14.6633 90.00 90.00 146.34
Last column: nearest neighbours and their distance in Å.
Fractional positions:
1 In 0.0980 0.9020 0.7500  6 Te 2.99-3.33
2 In 0.9020 0.0980 0.2500  6 Te 2.99-3.33
3 Sn 0.3605 0.6395 0.5599  6 Te 3.06-3.08
4 Sn 0.3605 0.6395 0.9401  6 Te 3.06-3.08
5 Sn 0.6395 0.3605 0.0599  6 Te 3.06-3.08
6 Sn 0.6395 0.3605 0.4401  6 Te 3.06-3.08
7 Te 0.0000 0.0000 0.0000  4 Sn 3.07
8 Te 0.0000 0.0000 0.5000  4 Sn 3.07
9 Te 0.2736 0.7264 0.1312  3 Sn 3.06-3.07, 2 In 3.33
10 Te 0.2736 0.7264 0.3688  3 Sn 3.06-3.07, 2 In 3.33
11 Te 0.4529 0.5471 0.7500  2 In 2.99, 2 Sn 3.08
12 Te 0.5471 0.4529 0.2500  2 In 2.99, 2 Sn 3.08
13 Te 0.7264 0.2736 0.6312  3 Sn 3.06-3.07, 2 In 3.33
14 Te 0.7264 0.2736 0.8688  3 Sn 3.06-3.07, 2 In 3.33

Computed properties:
For the uncorrected formation energy, the calculation gives -1.16 eV/f.u. The calculation puts the total magnetization at 0.000 μB per atom. The value obtained for the relative energy among the computed polymorphs is 0.0526 eV/atom.